Sc7CdAg4 | PBE | optimized geometry

```
12
Lattice="6.8215 -2.6493 0.0000 6.8215 2.6493 0.0000 -4.6373 0.0000 7.3867" Properties=species:S:1:pos:R:3 pbc="T T T"
Sc 0.0000 0.0000 0.0000
Sc 0.0183 0.0000 5.1893
Sc 3.6441 0.0000 0.8849
Sc 3.0962 0.0000 4.2955
Sc 5.9097 0.0000 3.0912
Sc 5.3618 0.0000 6.5018
Sc 8.9876 0.0000 2.1975
Cd 6.8215 0.0000 0.0000
Ag -2.6946 0.0000 5.1847
Ag 0.9587 0.0000 2.5533
Ag 8.0472 0.0000 4.8335
Ag 11.7004 0.0000 2.2020
```

- total energy (eV per cell) = -56.8
- V (Å³ per cell) = 267.0
- E_form (eV per atom) = -0.012

ScCd3Ag | PBE | optimized geometry

```
10
Lattice="7.2628 -2.4138 0.0000 7.2628 2.4138 0.0000 -1.6045 0.0000 6.0960" Properties=species:S:1:pos:R:3 pbc="T T T"
Sc 0.8237 0.0000 2.7439
Sc 12.0974 0.0000 3.3521
Cd -0.0881 0.0000 5.6867
Cd 3.8162 0.0000 1.6256
Cd 3.4415 0.0000 4.7387
Cd 9.4797 0.0000 1.3573
Cd 9.1050 0.0000 4.4704
Cd 13.0093 0.0000 0.4093
Ag 6.6516 0.0000 1.6355
Ag 6.2696 0.0000 4.4605
```

- total energy (eV per cell) = -25.2
- V (Å³ per cell) = 213.7
- E_form (eV per atom) = -0.134

ScCd4Ag7 | PBE | optimized geometry

```
12
Lattice="4.7599 0.0000 0.0000 -2.3800 4.1222 0.0000 0.0000 0.0000 11.7325" Properties=species:S:1:pos:R:3 pbc="T T T"
Sc 0.0000 0.0000 0.0000
Cd 0.0000 2.7481 1.9198
Cd 0.0000 2.7481 4.9115
Cd 2.3800 1.3741 6.8210
Cd 2.3800 1.3741 9.8127
Ag 0.0000 0.0000 2.9629
Ag 0.0000 0.0000 5.8662
Ag 0.0000 0.0000 8.7696
Ag 0.0000 2.7481 7.8605
Ag 0.0000 2.7481 10.7293
Ag 2.3800 1.3741 1.0032
Ag 2.3800 1.3741 3.8719
```

- total energy (eV per cell) = -31.0
- V (Å³ per cell) = 230.2
- E_form (eV per atom) = -0.090

Total moment / Bohr magnetons per cell: 2.14 0.00 0.00